# InPIr2

InPIr2 after structural relaxation (PBE-GGA, the Alexandria database).

a b c (Å): 6.8156 2.9579 7.1710
angles (deg): 90.00 107.01 90.00
Space group C2/m (No. 12)
Inequivalent atoms, fractional coordinates:
In: 0.0000 0.0000 0.0000 (multiplicity 2)
P: 0.0000 0.5000 0.5000 (multiplicity 2)
Ir: 0.2350 0.5000 0.3201 (multiplicity 4)

## Properties
Raw total energy, eV per formula unit: -26.306
DFT formation energy, meV/atom: -109
Size of the total moment, μB per formula unit: 0.000
Distance to the lowest polymorph of the same formula, kJ/mol of formula units: 7.9